Record 1
ErLuHgOs | PBE-GGA | optimized geometry

Properties
Size of the total moment, μB/cell: 0.000
DOS(E_F), states/eV per cell: 3.2
ΔH_f (0 K), meV per atom: -308

abc: 4.9425 4.9425 4.9425
angles: 60.00 60.00 60.00
Atoms (fractional coordinates):
Er: 0.0000 0.0000 0.0000
Lu: 0.5000 0.5000 0.5000
Hg: 0.7500 0.7500 0.7500
Os: 0.2500 0.2500 0.2500


Record 2
ErLuHgPd | PBE-GGA | optimized geometry

Properties
Size of the total moment, μB/cell: 0.000
DOS(E_F), states/eV per cell: 2.0
ΔH_f (0 K), meV per atom: -677

abc: 5.0405 5.0405 5.0405
angles: 60.00 60.00 60.00
Atoms (fractional coordinates):
Er: 0.0000 0.0000 0.0000
Lu: 0.5000 0.5000 0.5000
Hg: 0.7500 0.7500 0.7500
Pd: 0.2500 0.2500 0.2500


Record 3
ErLuHgRh | PBE-GGA | optimized geometry

Properties
Size of the total moment, μB/cell: 0.000
DOS(E_F), states/eV per cell: 2.5
ΔH_f (0 K), meV per atom: -647

abc: 4.9768 4.9768 4.9768
angles: 60.00 60.00 60.00
Atoms (fractional coordinates):
Er: 0.0000 0.0000 0.0000
Lu: 0.5000 0.5000 0.5000
Hg: 0.7500 0.7500 0.7500
Rh: 0.2500 0.2500 0.2500


Record 4
ErLuHgRu | PBE-GGA | optimized geometry

Properties
Size of the total moment, μB/cell: 0.000
DOS(E_F), states/eV per cell: 3.7
ΔH_f (0 K), meV per atom: -399

abc: 4.9561 4.9561 4.9561
angles: 60.00 60.00 60.00
Atoms (fractional coordinates):
Er: 0.0000 0.0000 0.0000
Lu: 0.5000 0.5000 0.5000
Hg: 0.2500 0.2500 0.2500
Ru: 0.7500 0.7500 0.7500


- ΔH_f (0 K) of number 3 (ErLuHgRh)?
  -647 meV per atom